Y12Rh6Pb GGA-PBE relaxed; energy of formation from the pure elements = -11.67 eV per formula unit; Fermi-level density of states = 0.64 states/eV per atom
1.0
8.121 0.000 -2.871
-4.060 7.033 -2.871
0.000 0.000 8.613
Pb Rh Y
1 6 12
direct
0.000 0.000 0.000
0.500 0.128 0.628
0.872 0.372 0.500
0.500 0.872 0.372
0.372 0.500 0.872
0.128 0.628 0.500
0.628 0.500 0.128
0.507 0.808 0.699
0.808 0.699 0.507
0.493 0.192 0.301
0.301 0.109 0.808
0.192 0.699 0.891
0.109 0.808 0.301
0.891 0.192 0.699
0.808 0.301 0.109
0.699 0.891 0.192
0.301 0.493 0.192
0.699 0.507 0.808
0.192 0.301 0.493


Y2RhPb GGA-PBE relaxed; energy of formation from the pure elements = -1.35 eV per formula unit; Fermi-level density of states = 1.05 states/eV per atom
1.0
7.992 0.000 0.000
0.000 7.992 0.000
3.996 3.996 3.321
Pb Y Rh
2 4 2
direct
0.000 0.000 0.000
0.750 0.250 0.500
0.375 0.426 0.750
0.176 0.625 0.250
0.574 0.125 0.250
0.875 0.824 0.750
0.500 0.500 0.000
0.250 0.750 0.500


Y2Rh2Pb GGA-PBE relaxed; energy of formation from the pure elements = -2.08 eV per formula unit; Fermi-level density of states = 0.92 states/eV per atom
1.0
-0.463 -0.723 3.697
-2.744 -2.487 -0.830
4.151 -7.790 0.943
Y Pb Rh
2 1 2
direct
0.626 0.626 0.748
0.374 0.374 0.252
0.000 0.000 0.000
0.750 0.250 0.500
0.250 0.750 0.500


Zn4RhPb GGA-PBE relaxed; energy of formation from the pure elements = -0.01 eV per formula unit; Fermi-level density of states = 0.54 states/eV per atom
1.0
0.000 3.665 3.665
3.665 0.000 3.665
3.665 3.665 0.000
Zn Pb Rh
4 1 1
direct
0.374 0.374 0.879
0.374 0.374 0.374
0.374 0.879 0.374
0.879 0.374 0.374
0.750 0.750 0.750
0.000 0.000 0.000


Zn2RhPb2 GGA-PBE relaxed; energy of formation from the pure elements = 0.69 eV per formula unit; Fermi-level density of states = 0.73 states/eV per atom
1.0
6.702 0.000 0.000
0.000 6.702 0.000
0.000 0.000 4.734
Zn Rh Pb
4 2 4
direct
0.359 0.859 0.000
0.641 0.141 0.000
0.859 0.641 0.000
0.141 0.359 0.000
0.500 0.500 0.000
0.000 0.000 0.000
0.682 0.818 0.500
0.318 0.182 0.500
0.818 0.318 0.500
0.182 0.682 0.500


Zn3RhPb GGA-PBE relaxed; energy of formation from the pure elements = 0.57 eV per formula unit; Fermi-level density of states = 0.60 states/eV per atom; energy above the lowest structure with this stoichiometry = 0.0000 eV/atom
1.0
-0.946 -2.232 4.150
4.653 0.222 1.181
-0.740 4.250 2.117
Zn Rh Pb
3 1 1
direct
0.000 0.500 0.000
0.500 0.000 0.000
0.000 0.000 0.500
0.000 0.000 0.000
0.500 0.500 0.500


ZnRhPb2 GGA-PBE relaxed; energy of formation from the pure elements = 0.34 eV per formula unit; Fermi-level density of states = 0.61 states/eV per atom
1.0
9.181 0.000 0.000
0.000 9.181 0.000
4.590 4.590 2.501
Zn Pb Rh
2 4 2
direct
0.250 0.750 0.500
0.500 0.500 0.000
0.375 0.263 0.750
0.013 0.625 0.250
0.875 0.987 0.750
0.737 0.125 0.250
0.000 0.000 0.000
0.750 0.250 0.500


ZnRhPb2 GGA-PBE relaxed; energy of formation from the pure elements = 0.72 eV per formula unit; Fermi-level density of states = 0.52 states/eV per atom
1.0
-0.661 4.191 -6.466
-2.529 -4.027 1.400
-3.032 1.678 -0.347
Pb Rh Zn
2 1 1
direct
0.000 0.000 0.000
0.500 0.000 0.500
0.000 0.500 0.500
0.500 0.500 0.000


ZnRhPb2 GGA-PBE relaxed; energy of formation from the pure elements = 0.48 eV per formula unit; Fermi-level density of states = 0.95 states/eV per atom
1.0
-4.928 5.245 5.095
-4.383 2.536 7.219
-1.984 5.050 6.951
Zn Pb Rh
1 2 1
direct
0.750 0.750 0.750
0.508 0.508 0.508
0.992 0.992 0.992
0.250 0.250 0.250


ZnRhPb2 GGA-PBE relaxed; energy of formation from the pure elements = 1.26 eV per formula unit; Fermi-level density of states = 0.58 states/eV per atom
1.0
4.982 0.000 0.000
2.491 4.314 0.000
2.491 1.438 4.068
Pb Rh Zn
2 1 1
direct
0.250 0.250 0.250
0.000 0.000 0.000
0.500 0.500 0.500
0.750 0.750 0.750


ZnRhPb GGA-PBE relaxed; energy of formation from the pure elements = 0.09 eV per formula unit; Fermi-level density of states = 0.85 states/eV per atom; energy above the lowest structure with this stoichiometry = 0.1005 eV/atom
1.0
-3.969 1.856 -0.412
1.803 -2.118 -3.410
-1.480 -2.933 1.039
Zn Pb Rh
1 1 1
direct
0.333 0.667 0.501
0.000 0.000 0.000
0.667 0.333 0.499


ZnRhPb2 GGA-PBE relaxed; energy of formation from the pure elements = 0.28 eV per formula unit; Fermi-level density of states = 0.66 states/eV per atom
1.0
6.803 0.425 -0.017
4.183 5.382 0.017
-5.028 -3.784 2.621
Pb Rh Zn
2 1 1
direct
0.999 0.999 0.000
0.701 0.201 0.500
0.484 0.484 0.000
0.317 0.817 0.500


Question: Among the records above, which one has the lowest energy of formation from the pure elements?
Answer: Y12Rh6Pb


Copy entry 2 word for word.
Y2RhPb GGA-PBE relaxed; energy of formation from the pure elements = -1.35 eV per formula unit; Fermi-level density of states = 1.05 states/eV per atom
1.0
7.992 0.000 0.000
0.000 7.992 0.000
3.996 3.996 3.321
Pb Y Rh
2 4 2
direct
0.000 0.000 0.000
0.750 0.250 0.500
0.375 0.426 0.750
0.176 0.625 0.250
0.574 0.125 0.250
0.875 0.824 0.750
0.500 0.500 0.000
0.250 0.750 0.500


Question: What is the energy of formation from the pure elements in the tenth record?
Answer: 1.26 eV per formula unit